(1)
6
Lattice="3.693 0.000 0.000 0.000 5.095 0.000 0.000 0.000 8.853" Properties=species:S:1:pos:R:3 comment="Pr2In3Sn (PBE-GGA, relaxed)" ef_ev_per_atom=-0.48 total_energy_ev_per_atom=-4.11 sg="No. 25" pbc="T T T"
Pr 0.000 2.548 0.028
Pr 0.000 0.000 4.398
In 1.847 0.000 7.359
In 1.847 0.000 1.443
In 1.847 2.548 5.935
Sn 1.847 2.548 2.970

***

(2)
18
Lattice="9.197 0.120 -0.178 -3.373 8.557 0.178 -3.263 -4.102 7.560" Properties=species:S:1:pos:R:3 comment="Pr6In2Sn (PBE-GGA, relaxed)" polymorph_energy_ev_per_atom=0.047 ef_ev_per_atom=-0.35 total_energy_ev_per_atom=-4.59 sg="No. 71" pbc="T T T"
Pr -0.093 2.944 6.222
Pr 2.653 1.630 1.337
Pr -2.760 -1.029 6.222
Pr 5.320 5.604 1.337
Pr 3.075 4.229 4.123
Pr -0.515 0.345 3.437
Pr -3.768 2.529 7.230
Pr 6.328 2.046 0.330
Pr 3.104 0.669 5.016
Pr -0.544 3.905 2.544
Pr -2.817 5.431 5.194
Pr 5.377 -0.857 2.366
In 0.509 -0.342 6.556
In 2.051 4.916 1.004
In 3.850 -2.584 4.790
In 2.083 -1.398 2.592
Sn -3.318 2.227 3.869
Sn 0.000 0.000 0.000